--- w ---
A relaxed structure of Rb2Sn2Se3, computed with GGA-PBE.

The structure in CIF format:
```
data_Rb2Sn2Se3
_chemical_formula_sum 'Rb2 Sn2 Se3'
_space_group_name_H-M_alt 'P -1'
_space_group_IT_number 2
_cell_length_a 6.007
_cell_length_b 6.963
_cell_length_c 7.593
_cell_angle_alpha 111.21
_cell_angle_beta 112.31
_cell_angle_gamma 90.45
loop_
_space_group_symop_operation_xyz
'x,y,z'
'-x,-y,-z'
loop_
_atom_site_label
_atom_site_fract_x
_atom_site_fract_y
_atom_site_fract_z
_atom_site_occupancy
Rb1 0.100 0.282 0.206 1
Sn1 0.358 0.158 0.701 1
Se1 0.175 0.815 0.345 1
Se2 0.500 0.000 0.000 1
```



--- x ---
A relaxed structure of Rb2Sn2Se3, computed with GGA-PBE.

The structure in CIF format:
```
data_Rb2Sn2Se3
_chemical_formula_sum 'Rb4 Sn4 Se6'
_space_group_name_H-M_alt 'P 1 21/c 1'
_space_group_IT_number 14
_cell_length_a 7.571
_cell_length_b 8.461
_cell_length_c 8.421
_cell_angle_alpha 90.00
_cell_angle_beta 102.46
_cell_angle_gamma 90.00
loop_
_space_group_symop_operation_xyz
'x,y,z'
'-x,-y,-z'
'-x,y+1/2,-z+1/2'
'x,-y+1/2,z+1/2'
loop_
_atom_site_label
_atom_site_fract_x
_atom_site_fract_y
_atom_site_fract_z
_atom_site_occupancy
Rb1 0.202 0.148 0.378 1
Sn1 0.315 0.660 0.479 1
Se1 0.000 0.000 0.000 1
Se2 0.442 0.032 0.767 1
```



What should be chosen as the least stable of them? Choose w.



--- w ---
A relaxed structure of Rb2Sn2Se, computed with GGA-PBE.

The structure in CIF format:
```
data_Rb2Sn2Se
_chemical_formula_sum 'Rb4 Sn4 Se2'
_space_group_name_H-M_alt 'I 4/m m m'
_space_group_IT_number 139
_space_group_name_Hall '-I 4 2'
_cell_length_a 5.492
_cell_length_b 5.492
_cell_length_c 14.347
_cell_angle_alpha 90.00
_cell_angle_beta 90.00
_cell_angle_gamma 90.00
loop_
_atom_site_label
_atom_site_fract_x
_atom_site_fract_y
_atom_site_fract_z
_atom_site_occupancy
Rb1 0.000 0.500 0.250 1
Sn1 0.000 0.000 0.090 1
Se1 0.000 0.000 0.500 1
```



--- x ---
A relaxed structure of Rb2Sn2Se, computed with GGA-PBE.

The structure in CIF format:
```
data_Rb2Sn2Se
_chemical_formula_sum 'Rb4 Sn4 Se2'
_space_group_name_H-M_alt 'I 4/m m m'
_space_group_IT_number 139
_space_group_name_Hall '-I 4 2'
_cell_length_a 4.223
_cell_length_b 4.223
_cell_length_c 22.471
_cell_angle_alpha 90.00
_cell_angle_beta 90.00
_cell_angle_gamma 90.00
loop_
_atom_site_label
_atom_site_fract_x
_atom_site_fract_y
_atom_site_fract_z
_atom_site_occupancy
Rb1 0.000 0.000 0.082 1
Sn1 0.000 0.500 0.250 1
Se1 0.000 0.000 0.500 1
```



What should be chosen as the least stable of them? Choose w.



--- w ---
A relaxed structure of RbSr3Se, computed with GGA-PBE.

The structure in CIF format:
```
data_RbSr3Se
_chemical_formula_sum 'Rb1 Sr3 Se1'
_space_group_name_H-M_alt 'P m -3 m'
_space_group_IT_number 221
_space_group_name_Hall '-P 4 2 3'
_cell_length_a 6.505
_cell_length_b 6.505
_cell_length_c 6.505
_cell_angle_alpha 90.00
_cell_angle_beta 90.00
_cell_angle_gamma 90.00
loop_
_atom_site_label
_atom_site_fract_x
_atom_site_fract_y
_atom_site_fract_z
_atom_site_occupancy
Rb1 0.000 0.000 0.000 1
Sr1 0.000 0.000 0.500 1
Se1 0.500 0.500 0.500 1
```



--- x ---
A relaxed structure of RbSr3Se, computed with GGA-PBE.

The structure in CIF format:
```
data_RbSr3Se
_chemical_formula_sum 'Rb1 Sr3 Se1'
_space_group_name_H-M_alt 'P m -3 m'
_space_group_IT_number 221
_space_group_name_Hall '-P 4 2 3'
_cell_length_a 6.329
_cell_length_b 6.329
_cell_length_c 6.329
_cell_angle_alpha 90.00
_cell_angle_beta 90.00
_cell_angle_gamma 90.00
loop_
_atom_site_label
_atom_site_fract_x
_atom_site_fract_y
_atom_site_fract_z
_atom_site_occupancy
Rb1 0.000 0.000 0.000 1
Sr1 0.000 0.500 0.500 1
Se1 0.500 0.500 0.500 1
```



What should be chosen as the least stable of them? Choose w.



--- w ---
A relaxed structure of RbSrSe3, computed with GGA-PBE.

The structure in CIF format:
```
data_RbSrSe3
_chemical_formula_sum 'Rb1 Sr1 Se3'
_space_group_name_H-M_alt 'P m -3 m'
_space_group_IT_number 221
_space_group_name_Hall '-P 4 2 3'
_cell_length_a 5.710
_cell_length_b 5.710
_cell_length_c 5.710
_cell_angle_alpha 90.00
_cell_angle_beta 90.00
_cell_angle_gamma 90.00
loop_
_atom_site_label
_atom_site_fract_x
_atom_site_fract_y
_atom_site_fract_z
_atom_site_occupancy
Rb1 0.000 0.000 0.000 1
Sr1 0.500 0.500 0.500 1
Se1 0.000 0.000 0.500 1
```



--- x ---
A relaxed structure of RbSrSe3, computed with GGA-PBE.

The structure in CIF format:
```
data_RbSrSe3
_chemical_formula_sum 'Rb1 Sr1 Se3'
_space_group_name_H-M_alt 'P m -3 m'
_space_group_IT_number 221
_space_group_name_Hall '-P 4 2 3'
_cell_length_a 5.962
_cell_length_b 5.962
_cell_length_c 5.962
_cell_angle_alpha 90.00
_cell_angle_beta 90.00
_cell_angle_gamma 90.00
loop_
_atom_site_label
_atom_site_fract_x
_atom_site_fract_y
_atom_site_fract_z
_atom_site_occupancy
Rb1 0.000 0.000 0.000 1
Sr1 0.500 0.500 0.500 1
Se1 0.000 0.500 0.500 1
```



What should be chosen as the least stable of them? Choose w.



--- w ---
A relaxed structure of RbTaSe4, computed with GGA-PBE.

The structure in CIF format:
```
data_RbTaSe4
_chemical_formula_sum 'Rb4 Ta4 Se16'
_space_group_name_H-M_alt 'C 1 2/c 1'
_space_group_IT_number 15
_cell_length_a 9.228
_cell_length_b 14.380
_cell_length_c 6.540
_cell_angle_alpha 90.00
_cell_angle_beta 112.09
_cell_angle_gamma 90.00
loop_
_space_group_symop_operation_xyz
'x,y,z'
'-x,-y,-z'
'-x,y,-z+1/2'
'x,-y,z+1/2'
'x+1/2,y+1/2,z'
'-x+1/2,-y+1/2,-z'
'-x+1/2,y+1/2,-z+1/2'
'x+1/2,-y+1/2,z+1/2'
loop_
_atom_site_label
_atom_site_fract_x
_atom_site_fract_y
_atom_site_fract_z
_atom_site_occupancy
Rb1 0.000 0.148 0.250 1
Ta1 0.000 0.500 0.250 1
Se1 0.084 0.364 0.545 1
Se2 0.226 0.440 0.120 1
```



--- x ---
A relaxed structure of RbTaSe4, computed with GGA-PBE.

The structure in CIF format:
```
data_RbTaSe4
_chemical_formula_sum 'Rb4 Ta4 Se16'
_space_group_name_H-M_alt 'C 1 2/m 1'
_space_group_IT_number 12
_cell_length_a 15.578
_cell_length_b 7.906
_cell_length_c 5.913
_cell_angle_alpha 90.00
_cell_angle_beta 91.65
_cell_angle_gamma 90.00
loop_
_space_group_symop_operation_xyz
'x,y,z'
'-x,-y,-z'
'-x,y,-z'
'x,-y,z'
'x+1/2,y+1/2,z'
'-x+1/2,-y+1/2,-z'
'-x+1/2,y+1/2,-z'
'x+1/2,-y+1/2,z'
loop_
_atom_site_label
_atom_site_fract_x
_atom_site_fract_y
_atom_site_fract_z
_atom_site_occupancy
Rb1 0.190 0.000 0.216 1
Ta1 0.021 0.500 0.269 1
Se1 0.000 0.237 0.000 1
Se2 0.100 0.295 0.614 1
Se3 0.185 0.500 0.275 1
```



What should be chosen as the least stable of them? Choose x.